Entry 1:
Entry from OQMD via LeMat-Bulk: a geometry-optimized BeCoRe2 structure (PBE).

The structure in CIF format:
```
data_BeCoRe2
_chemical_formula_sum 'Be4 Co4 Re8'
_symmetry_space_group_name_H-M 'F -4 3 m'
_symmetry_Int_Tables_number 216
_symmetry_space_group_name_Hall 'F -4 2 3'
_cell_length_a 5.8422
_cell_length_b 5.8422
_cell_length_c 5.8422
_cell_angle_alpha 90.00
_cell_angle_beta 90.00
_cell_angle_gamma 90.00
loop_
_atom_site_label
_atom_site_fract_x
_atom_site_fract_y
_atom_site_fract_z
Be1 0.0000 0.0000 0.0000
Co1 0.2500 0.2500 0.2500
Re1 0.0000 0.0000 0.5000
Re2 0.2500 0.2500 0.7500
```


Entry 2:
Entry from OQMD via LeMat-Bulk: a geometry-optimized ZnFeAgPb structure (PBE).

The structure in CIF format:
```
data_ZnFeAgPb
_chemical_formula_sum 'Zn4 Fe4 Ag4 Pb4'
_symmetry_space_group_name_H-M 'F -4 3 m'
_symmetry_Int_Tables_number 216
_symmetry_space_group_name_Hall 'F -4 2 3'
_cell_length_a 6.6356
_cell_length_b 6.6356
_cell_length_c 6.6356
_cell_angle_alpha 90.00
_cell_angle_beta 90.00
_cell_angle_gamma 90.00
loop_
_atom_site_label
_atom_site_fract_x
_atom_site_fract_y
_atom_site_fract_z
Zn1 0.0000 0.0000 0.0000
Fe1 0.2500 0.2500 0.7500
Ag1 0.2500 0.2500 0.2500
Pb1 0.0000 0.0000 0.5000
```


Entry 3:
Entry from OQMD via LeMat-Bulk: a geometry-optimized TbMgTe2AuSe structure (PBE).

The structure in CIF format:
```
data_TbMgTe2AuSe
_chemical_formula_sum 'Tb4 Mg4 Te8 Au4 Se4'
_symmetry_space_group_name_H-M 'C m c m'
_symmetry_Int_Tables_number 63
_symmetry_space_group_name_Hall '-C 2c 2'
_cell_length_a 4.0879
_cell_length_b 14.1707
_cell_length_c 10.7341
_cell_angle_alpha 90.00
_cell_angle_beta 90.00
_cell_angle_gamma 90.00
loop_
_atom_site_label
_atom_site_fract_x
_atom_site_fract_y
_atom_site_fract_z
Tb1 0.0000 0.0000 0.0000
Mg1 0.0000 0.2533 0.2500
Te1 0.0000 0.3434 0.5682
Au1 0.0000 0.4796 0.7500
Se1 0.0000 0.1059 0.7500
```


Entry 4:
Entry from OQMD via LeMat-Bulk: a geometry-optimized PrCd2Pb structure (PBE).

The structure in CIF format:
```
data_PrCd2Pb
_chemical_formula_sum 'Pr1 Cd2 Pb1'
_symmetry_space_group_name_H-M 'P 4/m m m'
_symmetry_Int_Tables_number 123
_symmetry_space_group_name_Hall '-P 4 2'
_cell_length_a 4.6401
_cell_length_b 4.6401
_cell_length_c 4.9401
_cell_angle_alpha 90.00
_cell_angle_beta 90.00
_cell_angle_gamma 90.00
loop_
_atom_site_label
_atom_site_fract_x
_atom_site_fract_y
_atom_site_fract_z
Pr1 0.0000 0.0000 0.0000
Cd1 0.0000 0.5000 0.5000
Pb1 0.5000 0.5000 0.0000
```


| no. | calculated volume (Å³/cell) | VASP energy (eV/atom) |
| --- | --- | --- |
| 1 | 199 | -8.84 |
| 2 | 292 | -3.62 |
| 3 | 622 | -4.03 |
| 4 | 106 | -2.96 |